Rb2Tl15Cd2 | Alexandria | PBE | optimized geometry; energy of formation from the pure elements = 0.00 eV/atom; magnetization = 0.000 μB per cell; calculated volume = 639 Å³ per cell
1.0
8.694 0.055 0.049
1.183 8.613 0.049
1.183 1.038 8.550
Rb Tl Cd
2 15 2
Cartesian
3.742 3.285 2.927 Rb
7.317 6.422 5.722 Rb
4.347 0.028 0.025 Tl
0.591 0.519 4.275 Tl
0.591 4.307 0.025 Tl
1.183 6.411 2.521 Tl
6.510 2.544 0.049 Tl
3.367 0.752 6.079 Tl
3.367 6.125 0.049 Tl
6.510 0.341 2.521 Tl
1.183 3.241 6.079 Tl
2.801 6.284 5.599 Tl
6.594 5.787 1.306 Tl
6.594 1.962 5.599 Tl
8.258 3.423 3.050 Tl
4.465 3.919 7.343 Tl
4.465 7.745 3.050 Tl
1.018 0.894 0.796 Cd
10.041 8.813 7.853 Cd

***

Cd9In3Ga2 | Alexandria | PBE | optimized geometry; energy of formation from the pure elements = 0.06 eV/atom; magnetization = 0.000 μB per cell; calculated volume = 338 Å³ per cell
1.0
-2.089 6.168 6.558
2.089 -6.168 6.558
2.089 6.168 -6.558
Cd In Ga
9 3 2
Cartesian
0.000 6.168 0.000 Cd
2.089 1.615 -1.570 Cd
0.000 4.553 8.128 Cd
0.000 4.553 4.988 Cd
2.089 1.615 1.570 Cd
0.000 8.562 2.132 Cd
2.089 -2.394 4.427 Cd
0.000 3.774 2.132 Cd
2.089 2.394 4.427 Cd
0.000 0.000 0.000 In
0.000 0.000 3.600 In
0.000 0.000 9.517 In
2.089 4.121 0.000 Ga
0.000 2.047 6.558 Ga

***

Pm2BeCuIr2 | Alexandria | PBE | optimized geometry; energy of formation from the pure elements = -0.50 eV/atom; magnetization = 0.000 μB per cell; calculated volume = 228 Å³ per cell
1.0
5.895 0.000 0.000
0.000 5.829 0.000
-2.948 -2.915 6.636
Pm Be Cu Ir
4 2 2 4
Cartesian
1.406 0.000 2.174 Pm
1.541 2.915 4.462 Pm
-1.541 0.000 4.462 Pm
4.489 2.915 2.174 Pm
2.948 4.372 0.000 Be
2.948 1.457 0.000 Be
0.000 4.372 0.000 Cu
0.000 1.457 0.000 Cu
4.210 0.000 1.371 Ir
1.685 2.915 1.371 Ir
1.262 0.000 5.265 Ir
-1.262 2.915 5.265 Ir

***

AcPa2FeN5 | Alexandria | PBE | optimized geometry; formation energy (no corrections) = -1.236 eV/atom; magnetization = 0.000 μB per cell; calculated volume = 248 Å³ per cell
1.0
6.589 0.000 0.000
0.000 6.589 0.000
-3.295 -3.295 5.717
Ac Pa Fe N
2 4 2 10
Cartesian
0.000 0.000 2.859 Ac
3.295 3.295 2.859 Ac
1.184 2.111 0.000 Pa
4.478 1.184 0.000 Pa
2.111 5.406 0.000 Pa
5.406 4.478 0.000 Pa
0.000 3.295 2.859 Fe
3.295 0.000 2.859 Fe
5.675 2.380 1.515 N
2.380 -0.914 4.202 N
-2.380 0.914 4.202 N
-0.914 -2.380 4.202 N
0.914 2.380 4.202 N
4.209 5.675 1.515 N
2.380 0.914 1.515 N
0.914 4.209 1.515 N
3.295 3.295 0.000 N
0.000 0.000 0.000 N

***

Rb2MgSeCl6 | Alexandria | PBE | optimized geometry; formation energy (no corrections) = -1.218 eV/atom; magnetization = 2.000 μB per cell; calculated volume = 283 Å³ per cell
1.0
-6.946 -3.617 0.981
-0.220 -1.668 -7.711
-1.428 -6.568 -2.577
Mg Se Rb Cl
1 1 2 6
Cartesian
-3.583 -2.643 -3.365 Mg
0.000 0.000 0.000 Se
-5.978 -6.414 -2.480 Rb
-2.615 -5.439 -6.826 Rb
-2.491 -4.632 -2.966 Cl
-6.103 -7.221 -6.341 Cl
-1.964 -1.448 -1.844 Cl
-5.202 -3.837 -4.886 Cl
-5.103 -3.083 -1.401 Cl
-2.063 -2.202 -5.329 Cl

***

TeP3 | Alexandria | PBE | optimized geometry; formation energy (no corrections) = 0.226 eV/atom; magnetization = 0.000 μB per cell; calculated volume = 195 Å³ per cell
1.0
5.005 0.000 0.000
0.000 5.026 0.000
0.000 0.000 7.764
Te P
2 6
Cartesian
0.000 0.000 2.866 Te
2.503 2.513 4.898 Te
2.503 0.000 2.009 P
0.000 2.513 5.755 P
0.000 3.630 7.695 P
0.000 1.396 7.695 P
2.503 1.117 0.069 P
2.503 3.909 0.069 P

***

HfTi9Pb2 | Alexandria | PBE | optimized geometry; energy of formation from the pure elements = 0.14 eV/atom; magnetization = 1.578 μB per cell; calculated volume = 230 Å³ per cell
1.0
-4.305 3.704 -0.235
-3.782 0.235 4.237
1.924 6.925 5.145
Hf Ti Pb
1 9 2
Cartesian
0.000 0.000 0.000 Hf
-3.479 9.537 7.803 Ti
-2.684 1.328 1.344 Ti
-3.081 5.432 4.574 Ti
-2.918 3.329 2.923 Ti
-5.078 5.188 2.805 Ti
-4.815 3.447 5.050 Ti
-3.245 7.535 6.224 Ti
-1.348 7.417 4.097 Ti
-1.085 5.677 6.342 Ti
-6.194 6.239 5.564 Pb
0.031 4.625 3.583 Pb

***

NaIn12Ga4 | Alexandria | PBE | optimized geometry; energy of formation from the pure elements = 0.09 eV/atom; magnetization = 0.000 μB per cell; calculated volume = 476 Å³ per cell
1.0
8.517 0.000 0.000
-2.839 8.030 0.000
-2.839 -4.015 6.954
Na In Ga
1 12 4
Cartesian
0.000 0.000 0.000 Na
5.667 2.015 1.332 In
1.087 3.407 1.079 In
4.591 -1.377 4.543 In
0.011 -1.854 5.875 In
-1.752 5.392 2.411 In
1.752 0.608 5.875 In
2.850 -0.146 2.411 In
-0.011 4.161 4.543 In
2.828 5.869 1.079 In
3.926 3.246 3.464 In
-1.087 0.769 3.490 In
-2.828 2.000 5.622 In
-1.419 4.015 0.000 Ga
4.258 0.000 0.000 Ga
1.419 2.007 3.477 Ga
-1.419 -2.007 3.477 Ga

***

ZrNbPd2 | Alexandria | PBE | optimized geometry; energy of formation from the pure elements = -0.28 eV/atom; magnetization = 0.009 μB per cell; calculated volume = 72 Å³ per cell
1.0
-0.760 -4.361 1.474
-2.881 -0.781 3.586
-4.141 -2.021 -0.732
Nb Zr Pd
1 1 2
Cartesian
-3.891 -3.582 2.164 Nb
0.000 0.000 0.000 Zr
-1.946 -1.791 1.082 Pd
-5.837 -5.373 3.246 Pd

***

PmSn4 | Alexandria | PBE | optimized geometry; energy of formation from the pure elements = -0.36 eV/atom; magnetization = 0.000 μB per cell; calculated volume = 275 Å³ per cell
1.0
-3.817 1.161 2.441
1.176 -4.873 4.155
6.286 7.419 1.820
Pm Sn
2 8
Cartesian
1.851 6.339 4.360 Pm
1.794 -2.633 4.057 Pm
1.263 -0.133 2.037 Sn
2.383 3.840 6.380 Sn
-1.908 0.580 1.221 Sn
-1.320 -1.856 3.298 Sn
0.020 2.675 3.239 Sn
3.625 1.032 5.178 Sn
3.062 3.365 3.188 Sn
0.583 0.341 5.229 Sn